Record 1
Tb2YEr5In: optimized geometry, PBE-GGA.

Formation energy from the elements = -0.005 eV per atom
Space group = Cmcm, No. 63

Unit cell a=5.322 b=10.309 c=10.477 alpha=90.00 beta=90.00 gamma=104.96
Element x y z (fractional)
Er  0.290  0.581  0.307
Er  0.710  0.419  0.807
Er  0.710  0.419  0.209
Er  0.988  0.976  0.508
Er  0.500  0.000  0.258
Er  0.385  0.769  0.008
Er  0.500  0.000  0.758
Er  0.615  0.231  0.508
Er  0.290  0.581  0.709
Er  0.012  0.024  0.008
Y  0.208  0.415  0.008
Y  0.792  0.585  0.508
Tb  0.116  0.232  0.301
Tb  0.884  0.768  0.216
Tb  0.884  0.768  0.801
Tb  0.116  0.232  0.716
In  0.595  0.190  0.008
In  0.405  0.810  0.508

Record 2
Sm4DyHo3: optimized geometry, PBE-GGA.

Formation energy from the elements = 0.196 eV per atom
Space group = C2/m, No. 12
Offset from the most stable computed form = 1.39 eV/f.u.

Unit cell a=5.657 b=3.610 c=13.308 alpha=89.94 beta=102.27 gamma=90.00
Element x y z (fractional)
Dy  0.500  0.000  0.000
Ho  0.848  0.000  0.696
Ho  0.000  0.500  0.000
Ho  0.152  0.000  0.304
Sm  0.723  0.500  0.446
Sm  0.277  0.500  0.554
Sm  0.603  0.500  0.206
Sm  0.397  0.500  0.794

Record 3
Er5Tl2Ru: optimized geometry, PBE-GGA.

Formation energy from the elements = -0.340 eV per atom
Space group = Pbam, No. 55
Offset from the most stable computed form = 0.00 eV/f.u.

Unit cell a=4.651 b=7.574 c=12.091 alpha=90.00 beta=90.00 gamma=90.00
Element x y z (fractional)
Er  0.000  0.000  0.500
Er  0.500  0.319  0.573
Er  0.500  0.181  0.073
Er  0.000  0.861  0.204
Er  0.000  0.639  0.704
Er  0.000  0.361  0.296
Er  0.500  0.819  0.927
Er  0.500  0.681  0.427
Er  0.000  0.139  0.796
Er  0.000  0.500  0.000
Ru  0.000  0.000  0.000
Ru  0.000  0.500  0.500
Tl  0.500  0.078  0.332
Tl  0.500  0.422  0.832
Tl  0.500  0.578  0.168
Tl  0.500  0.922  0.668

Record 4
BaTiAs3: optimized geometry, PBE-GGA.

Formation energy from the elements = 1.441 eV per atom
Space group = Pm-3m, No. 221
Offset from the most stable computed form = 10.52 eV/f.u.

Unit cell a=5.636 b=5.636 c=5.636 alpha=90.00 beta=90.00 gamma=90.00
Element x y z (fractional)
As  0.000  0.000  0.500
As  0.000  0.500  0.000
As  0.500  0.000  0.000
Ti  0.500  0.500  0.500
Ba  0.000  0.000  0.000

Record 5
Pa2CuSnO8: optimized geometry, PBE-GGA.

Space group = P-3m1, No. 164
Formation energy (no corrections) = -1.99 eV/atom

Unit cell a=5.140 b=5.140 c=6.875 alpha=90.00 beta=90.00 gamma=120.00
Element x y z (fractional)
O  0.652  0.826  0.155
O  0.348  0.174  0.845
O  0.826  0.174  0.845
O  0.174  0.826  0.155
O  0.667  0.333  0.421
O  0.174  0.348  0.155
O  0.826  0.652  0.845
O  0.333  0.667  0.579
Pa  0.333  0.667  0.857
Pa  0.667  0.333  0.143
Sn  0.000  0.000  0.500
Cu  0.000  0.000  0.000

no.,mass density (g cm⁻³),spin magnetization (μB per formula unit),energy (eV/atom)
1,8.120,0.000,-4.59
2,7.871,0.000,-4.46
3,10.496,0.000,-4.94
4,3.802,0.164,-3.31
5,8.153,0.000,-7.56